# 1
DFT (PBE) results for a relaxed structure of AcPm3Nd7.

Unit cell a=8.679 b=8.679 c=6.161 alpha=110.68 beta=110.68 gamma=82.21
Fractional positions:
Ac (0.000, 0.000, 0.000)
Pm (0.288, 0.712, 0.500)
Pm (0.500, 0.500, 0.000)
Pm (0.712, 0.288, 0.500)
Nd (0.000, 0.000, 0.500)
Nd (0.097, 0.492, 0.795)
Nd (0.302, 0.302, 0.303)
Nd (0.492, 0.097, 0.795)
Nd (0.508, 0.903, 0.205)
Nd (0.698, 0.698, 0.697)
Nd (0.903, 0.508, 0.205)

=====

# 2
DFT (PBE) results for a relaxed structure of AcPm5Nd3.

Unit cell a=10.980 b=10.980 c=10.980 alpha=140.73 beta=67.11 gamma=127.93
Fractional positions:
Ac (0.342, 0.092, 0.250)
Ac (0.658, 0.908, 0.750)
Pm (0.158, 0.331, 0.340)
Pm (0.158, 0.817, 0.827)
Pm (0.296, 0.546, 0.750)
Pm (0.490, 0.331, 0.673)
Pm (0.490, 0.817, 0.160)
Pm (0.510, 0.183, 0.840)
Pm (0.510, 0.669, 0.327)
Pm (0.704, 0.454, 0.250)
Pm (0.842, 0.183, 0.173)
Pm (0.842, 0.669, 0.660)
Nd (0.000, 0.000, 0.500)
Nd (0.000, 0.500, 0.000)
Nd (0.176, 0.245, 0.932)
Nd (0.187, 0.755, 0.432)
Nd (0.813, 0.245, 0.568)
Nd (0.824, 0.755, 0.068)

=====

# 3
DFT (PBE) results for a relaxed structure of Ac3Pm2Nd8.

Unit cell a=11.336 b=11.336 c=5.866 alpha=90.17 beta=90.17 gamma=42.04
Fractional positions:
Ac (0.000, 0.000, 0.000)
Ac (0.287, 0.713, 0.500)
Ac (0.713, 0.287, 0.500)
Pm (0.240, 0.240, 0.994)
Pm (0.760, 0.760, 0.006)
Nd (0.136, 0.136, 0.497)
Nd (0.185, 0.589, 0.999)
Nd (0.322, 0.322, 0.495)
Nd (0.411, 0.815, 0.001)
Nd (0.589, 0.185, 0.999)
Nd (0.678, 0.678, 0.505)
Nd (0.815, 0.411, 0.001)
Nd (0.864, 0.864, 0.503)

=====

# 4
DFT (PBE) results for a relaxed structure of Ac2PmNd3.

Unit cell a=5.367 b=8.455 c=11.312 alpha=72.48 beta=76.28 gamma=71.60
Fractional positions:
Ac (0.036, 0.295, 0.133)
Ac (0.292, 0.049, 0.868)
Ac (0.708, 0.951, 0.132)
Ac (0.964, 0.705, 0.867)
Pm (0.373, 0.622, 0.132)
Pm (0.627, 0.378, 0.868)
Nd (0.124, 0.870, 0.382)
Nd (0.210, 0.461, 0.619)
Nd (0.454, 0.209, 0.384)
Nd (0.546, 0.791, 0.616)
Nd (0.790, 0.539, 0.381)
Nd (0.876, 0.130, 0.618)

=====

Looking at formation energy from the elements for the records above, in order, we have 239, 135, 251, 29 meV/atom.
Looking at magnetic moment for the records above, in order, we have 0.368, 0.000, 0.000, 0.000 Bohr magnetons per cell.